This record from Alexandria describes crystalline GePd2Au at its relaxed geometry. The functional is PBE.

## Properties
Energy relative to the elements (meV/atom): -249.5

POSCAR file:
```
GePd2Au
1.0
2.964 0.004 0.002
0.002 5.107 -0.749
-1.472 -3.047 9.077
Pd Ge Au
4 2 2
Direct
0.932 0.920 0.347
0.432 0.420 0.347
0.153 0.958 0.795
0.653 0.458 0.795
0.542 0.939 0.571
0.042 0.439 0.571
0.292 0.858 0.071
0.792 0.358 0.071
```